No. 1
BeCuOs | PBE | relaxed

abc: 2.6435 2.6435 5.9788
angles: 90.00 90.00 120.00
Atoms (fractional coordinates):
1 Be 0.0000 0.0000 0.0016
2 Os 0.3333 0.6667 0.6872
3 Cu 0.6667 0.3333 0.3111

For the energy above the lowest structure with this stoichiometry, the calculation gives 0.024 eV/atom. For the total magnetization, the calculation gives 0.00 μB/f.u. The formation energy from the elements is 0.1438 eV per atom. For the density, the calculation gives 12.06 g/cm³. The value obtained for the volume is 12.061 Å³ per atom.

No. 2
Tb6Ce2Pm3Sm | PBE | relaxed

abc: 6.2103 6.2103 11.8224
angles: 95.03 95.03 120.01
Each line ends with the local moment (μB).
Atoms (fractional coordinates):
1 Tb 0.9174 0.5815 0.7531  0.01
2 Tb 0.7466 0.7466 0.2470  0.01
3 Tb 0.0826 0.4185 0.2469  0.01
4 Tb 0.5815 0.9174 0.7531  0.01
5 Tb 0.2534 0.2534 0.7530  0.01
6 Tb 0.4185 0.0826 0.2469  0.01
7 Ce 0.3334 0.6666 0.0000  0.74
8 Ce 0.6666 0.3334 0.0000  0.74
9 Pm 0.1662 0.8338 0.5000  -0.01
10 Pm 0.8338 0.1662 0.5000  -0.01
11 Pm 0.5000 0.5000 0.5000  -0.01
12 Sm 0.0000 0.0000 0.0000  0.01

For the total magnetization, the calculation gives 1.93 μB/f.u. The formation energy from the elements is 0.0462 eV per atom. For the density, the calculation gives 7.77 g/cm³. The value obtained for the volume is 32.394 Å³ per atom.

No. 3
Zr3S | PBE | relaxed

abc: 3.6478 5.4191 8.4615
angles: 90.00 90.00 109.67
Atoms (fractional coordinates):
1 Zr 0.4441 0.8882 0.7500
2 Zr 0.5559 0.1118 0.2500
3 Zr 0.1398 0.2796 0.9528
4 Zr 0.8602 0.7204 0.0472
5 Zr 0.8602 0.7204 0.4528
6 Zr 0.1398 0.2796 0.5472
7 S 0.7319 0.4638 0.7500
8 S 0.2681 0.5362 0.2500

For the energy above the lowest structure with this stoichiometry, the calculation gives 0.000 eV/atom. For the total magnetization, the calculation gives 0.00 μB/f.u. For the density, the calculation gives 6.45 g/cm³. The value obtained for the volume is 19.688 Å³ per atom. The calculation puts the energy relative to the elements, uncorrected at -0.80 eV/atom.

No. 4
ZrHg2Pb | PBE | relaxed

abc: 3.3132 3.3132 10.3949
angles: 90.00 90.00 116.40
Atoms (fractional coordinates):
1 Hg 0.0000 0.0000 0.9915
2 Hg 0.5000 0.5000 0.2370
3 Pb 0.0000 0.0000 0.5109
4 Zr 0.5000 0.5000 0.7606

For the total magnetization, the calculation gives 0.00 μB/f.u. The formation energy from the elements is 0.0637 eV per atom. For the density, the calculation gives 11.37 g/cm³. The value obtained for the volume is 25.552 Å³ per atom.

No. 5
Tb2Dy4Tl3H2 | PBE | relaxed

abc: 4.7449 4.7449 12.7117
angles: 100.76 100.76 90.00
Atoms (fractional coordinates):
1 Tb 0.3025 0.3025 0.6050
2 Tb 0.6975 0.6975 0.3950
3 Dy 0.4157 0.9158 0.8315
4 Dy 0.9157 0.4158 0.8315
5 Dy 0.0843 0.5843 0.1685
6 Dy 0.5843 0.0842 0.1685
7 Tl 0.0000 0.0000 0.0000
8 Tl 0.1739 0.1739 0.3477
9 Tl 0.8261 0.8261 0.6523
10 H 0.3982 0.3982 0.7965
11 H 0.6018 0.6018 0.2035

As for the total energy: -4.05 eV per atom. For the total magnetization, the calculation gives 0.00 μB/f.u. For the density, the calculation gives 9.52 g/cm³. The value obtained for the volume is 25.095 Å³ per atom.

No. 6
KNi2Sb | PBE | relaxed

abc: 3.2277 4.7369 4.7369
angles: 90.00 90.00 90.00
Atoms (fractional coordinates):
1 K 0.5000 0.0000 0.5000
2 Ni 0.0000 0.0000 0.0000
3 Ni 0.0000 0.5000 0.5000
4 Sb 0.5000 0.5000 0.0000

For the total magnetization, the calculation gives 0.00 μB/f.u. For the density, the calculation gives 6.38 g/cm³. The value obtained for the volume is 18.106 Å³ per atom. The calculation puts the energy relative to the elements, uncorrected at 0.51 eV/atom.

No. 7
SrCd2TcMo | PBE | relaxed

abc: 5.2163 5.0321 5.2163
angles: 90.00 90.00 90.00
Atoms (fractional coordinates):
1 Sr 0.0000 0.5000 0.0000
2 Mo 0.5000 0.5000 0.5000
3 Tc 0.0000 0.0000 0.0000
4 Cd 0.0000 0.0000 0.5000
5 Cd 0.5000 0.0000 0.0000

For the total magnetization, the calculation gives 0.12 μB/f.u. The formation energy from the elements is 1.7262 eV per atom. For the density, the calculation gives 6.14 g/cm³. The value obtained for the volume is 27.384 Å³ per atom.

No. 8
MgIn2Ni | PBE | relaxed

abc: 6.8588 6.8588 6.8588
angles: 155.00 141.77 46.22
Atoms (fractional coordinates):
1 In 0.0713 0.0713 0.0000
2 In 0.4287 0.4287 0.0000
3 Mg 0.7500 0.2500 0.5000
4 Ni 0.2500 0.7500 0.5000

For the total magnetization, the calculation gives 0.00 μB/f.u. The formation energy from the elements is -0.0472 eV per atom. For the density, the calculation gives 6.17 g/cm³. The value obtained for the volume is 21.034 Å³ per atom.